Entry 1:
DFT (PBE) results for a geometry-optimized Ta2MnNb2 structure.

Offset from the most stable computed form ... 0 meV/atom
Formation enthalpy at 0 K ... -0.36 eV per formula unit
Crystal system ... tetragonal

Cell and atoms, written as extended XYZ:
```
5
Lattice="-1.5943 1.5943 8.2049 1.5943 -1.5943 8.2049 1.5943 1.5943 -8.2049" Properties=species:S:1:pos:R:3 pbc="T T T"
Ta 0.0000 0.0000 1.5020
Ta 0.0000 0.0000 14.9078
Mn 0.0000 0.0000 8.2049
Nb 0.0000 0.0000 4.9427
Nb 0.0000 0.0000 11.4671
```



Entry 2:
DFT (PBE) results for a geometry-optimized BaAs2WBr structure.

Offset from the most stable computed form ... 0 meV/atom
Uncorrected formation energy ... 0.307 eV per atom
Crystal system ... orthorhombic

Cell and atoms, written as extended XYZ:
```
5
Lattice="4.7510 0.0000 0.0000 0.0000 5.1013 0.0000 0.0000 0.0000 6.5151" Properties=species:S:1:pos:R:3 pbc="T T T"
Ba 0.0000 0.0000 0.0000
As 2.3755 0.0000 3.2576
As 2.3755 2.5506 3.2576
W 0.0000 2.5506 3.2576
Br 2.3755 2.5506 0.0000
```



Entry 3:
DFT (PBE) results for a geometry-optimized HfMoBr3 structure.

Offset from the most stable computed form ... 0 meV/atom
Uncorrected formation energy ... 0.360 eV per atom
Crystal system ... cubic

Cell and atoms, written as extended XYZ:
```
5
Lattice="5.2850 0.0000 0.0000 0.0000 5.2850 0.0000 0.0000 0.0000 5.2850" Properties=species:S:1:pos:R:3 pbc="T T T"
Hf 0.0000 0.0000 0.0000
Mo 2.6425 2.6425 2.6425
Br 0.0000 0.0000 2.6425
Br 0.0000 2.6425 0.0000
Br 2.6425 0.0000 0.0000
```



Entry 4:
DFT (PBE) results for a geometry-optimized LiMg2Cd structure.

Formation enthalpy at 0 K ... -0.09 eV per formula unit
Crystal system ... trigonal

Cell and atoms, written as extended XYZ:
```
4
Lattice="1.5580 0.8995 10.3164 -1.5580 0.8995 10.3164 0.0000 -1.7990 10.3164" Properties=species:S:1:pos:R:3 pbc="T T T"
Li 0.0000 0.0000 0.0000
Mg 0.0000 0.0000 7.8668
Mg 0.0000 0.0000 23.0825
Cd 0.0000 0.0000 15.4747
```



Results for magnetization: 0.00 2.69 5.72 0.00 (in μB per formula unit, following the order of the records).